Entry from Alexandria: an optimized crystal structure of La4SnTeSe2 (PBE).

Cell: 8.9473 8.9473 9.0052 Å, 120.21 120.21 89.97°
With the nearest neighbours (Å) after each atom.
Fractional coordinates of all 16 atoms:
La 0.2625 0.7502 0.0063  3 Se 3.09-3.13, 2 Sn 3.21, 1 Te 3.24
La 0.7497 0.2375 0.4937  3 Se 3.09-3.13, 2 Sn 3.21, 1 Te 3.24
La 0.2502 0.7625 0.5063  3 Se 3.09-3.13, 2 Sn 3.21, 1 Te 3.24
La 0.7375 0.2498 0.9937  3 Se 3.09-3.13, 2 Sn 3.21, 1 Te 3.24
La 0.7472 0.7528 0.0135  3 Se 3.08-3.13, 1 Sn 3.20, 2 Te 3.25
La 0.7472 0.7528 0.4865  3 Se 3.08-3.13, 1 Sn 3.20, 2 Te 3.25
La 0.2528 0.2472 0.5135  3 Se 3.08-3.13, 1 Sn 3.20, 2 Te 3.25
La 0.2528 0.2472 0.9865  3 Se 3.08-3.13, 1 Sn 3.20, 2 Te 3.25
Sn 0.0000 0.5000 0.0000  6 La 3.20-3.21
Sn 0.0000 0.5000 0.5000  6 La 3.20-3.21
Te 0.5000 0.5000 0.5000  6 La 3.24-3.25
Te 0.0000 0.0000 0.0000  6 La 3.24-3.25
Se 0.5000 0.0000 0.0000  6 La 3.13
Se 0.5000 0.0000 0.5000  6 La 3.13
Se 0.0000 0.0000 0.5000  6 La 3.08-3.09
Se 0.5000 0.5000 0.0000  6 La 3.08-3.09

Summary:
Formation energy from raw total energies: -1600 meV per atom
Crystal system: orthorhombic
DOS(E_F): 7.67 states/eV per cell



Entry from Alexandria: an optimized crystal structure of K4BaTh3Te8 (PBE).

Cell: 9.3133 9.9053 9.3135 Å, 118.07 120.00 90.00°
With the nearest neighbours (Å) after each atom.
Fractional coordinates of all 16 atoms:
K 0.5000 0.0000 0.0000  6 Te 3.42
K 0.5000 0.0000 0.5000  6 Te 3.59-3.62
K 0.0000 0.0000 0.0000  6 Te 3.59-3.62
K 0.0000 0.0000 0.5000  6 Te 3.59-3.62
Ba 0.0000 0.5000 0.0000  6 Te 3.40
Th 0.5000 0.5000 0.0000  6 Te 3.19-3.22
Th 0.5000 0.5000 0.5000  6 Te 3.19-3.22
Th 0.0000 0.5000 0.5000  6 Te 3.19-3.22
Te 0.2515 0.7210 0.9698  2 Th 3.19, 1 Ba 3.40, 1 K 3.42
Te 0.2514 0.7209 0.5029  2 Th 3.19, 1 Ba 3.40, 1 K 3.42
Te 0.2621 0.2865 0.5241  3 Th 3.22, 3 K 3.59
Te 0.7184 0.7210 0.9698  2 Th 3.19, 1 Ba 3.40, 1 K 3.42
Te 0.2816 0.2790 0.0302  2 Th 3.19, 1 Ba 3.40, 1 K 3.42
Te 0.7379 0.7135 0.4759  3 Th 3.22, 3 K 3.59
Te 0.7486 0.2791 0.4971  2 Th 3.19, 1 Ba 3.40, 1 K 3.42
Te 0.7485 0.2790 0.0302  2 Th 3.19, 1 Ba 3.40, 1 K 3.42

Summary:
Formation energy from raw total energies: -1253 meV per atom
Crystal system: trigonal
DOS(E_F): 9.50 states/eV per cell